Entry from Alexandria: an optimized crystal structure of ErThReAg (PBE).

Cell and atoms, written as CIF:
```
data_ErThReAg
_symmetry_space_group_name_H-M 'F -4 3 m'
_symmetry_Int_Tables_number 216
_symmetry_space_group_name_Hall 'F -4 2 3'
_cell_length_a 7.142
_cell_length_b 7.142
_cell_length_c 7.142
_cell_angle_alpha 90.00
_cell_angle_beta 90.00
_cell_angle_gamma 90.00
loop_
_atom_site_label
_atom_site_type_symbol
_atom_site_fract_x
_atom_site_fract_y
_atom_site_fract_z
Er1 Er 0.000 0.000 0.000
Th1 Th 0.000 0.000 0.500
Re1 Re 0.250 0.250 0.250
Ag1 Ag 0.250 0.250 0.750
```

Output
Calculated total energy   -6.85 eV per atom
Energy of formation from the pure elements   -0.03 eV/atom
DOS(E_F)   2.6 states/eV/f.u.
Size of the total moment   0.00 μB per formula unit
Crystal system   cubic